## one
## CuPtCl2 (PBE-GGA)

Data for a relaxed CuPtCl2 crystal.

a = 3.2663 Å, b = 3.2663 Å, c = 22.1458 Å
α = 90.00°, β = 90.00°, γ = 120.00°
Space group R-3m (No. 166, hexagonal axes)
Symmetry-distinct sites (fractional):
1 Cu 0.0000 0.0000 0.0000 x3
2 Pt 0.0000 0.0000 0.5000 x3
3 Cl 0.0000 0.0000 0.2628 x6

Computed properties:
D(E_F) = 15.12 states/eV per cell
total magnetization = 0.54 μB/f.u.

***

## two
## CuPtCl2 (PBE-GGA)

Data for a relaxed CuPtCl2 crystal.

a = 6.481 Å, b = 6.481 Å, c = 6.481 Å
α = 90.00°, β = 90.00°, γ = 90.00°
Space group F-43m (No. 216)
Symmetry-distinct sites (fractional):
1 Cu 0.000 0.000 0.000 x4
2 Pt 0.250 0.250 0.750 x4
3 Cl 0.000 0.000 0.500 x4
4 Cl 0.250 0.250 0.250 x4

Computed properties:
D(E_F) = 25.56 states/eV per cell
total magnetization = 0.00 μB/f.u.

***

## three
## CuPtCl2 (PBE-GGA)

Data for a relaxed CuPtCl2 crystal.

a = 3.151 Å, b = 6.737 Å, c = 7.430 Å
α = 90.00°, β = 90.00°, γ = 90.00°
Space group Immm (No. 71)
Symmetry-distinct sites (fractional):
1 Cu 0.000 0.000 0.000 x2
2 Pt 0.000 0.000 0.500 x2
3 Cl 0.000 0.500 0.261 x4

Computed properties:
D(E_F) = 3.00 states/eV per cell
total magnetization = 0.00 μB/f.u.

***

The structure shown above that is least stable: two.